Entry P
Here is a geometry-optimized NdSm4Hg2 structure from Alexandria via LeMat-Bulk. Energies are from PBE.

a b c (Å): 3.700 8.895 14.376
angles (deg): 106.13 82.61 78.00
Positions (direct):
Nd 0.988 0.898 0.125
Nd 0.012 0.102 0.875
Sm 0.288 0.043 0.381
Sm 0.699 0.502 0.100
Sm 0.997 0.316 0.690
Sm 0.699 0.318 0.283
Sm 0.301 0.682 0.717
Sm 0.003 0.684 0.310
Sm 0.301 0.498 0.900
Sm 0.712 0.957 0.619
Hg 0.576 0.335 0.513
Hg 0.367 0.187 0.079
Hg 0.633 0.813 0.921
Hg 0.424 0.665 0.487

Results
magnetic moment	0.000	μB/atom

---

Entry Q
Here is a geometry-optimized NdSm4Hg2 structure from Alexandria via LeMat-Bulk. Energies are from PBE.

a b c (Å): 5.133 5.133 10.890
angles (deg): 76.37 76.37 60.00
Each line ends with the local moment (μB).
Positions (direct):
Nd 0.500 0.500 0.500  0.19
Sm 0.702 0.702 0.893  0.05
Sm 0.893 0.893 0.322  0.12
Sm 0.298 0.298 0.107  0.05
Sm 0.107 0.107 0.678  0.12
Hg 0.601 0.601 0.197  0.00
Hg 0.399 0.399 0.803  0.00

Results
magnetic moment	0.142	μB/atom

---

Of them, entry Q has the lowest stability.

---

Entry P
Here is a geometry-optimized Nd3SmHg4 structure from Alexandria via LeMat-Bulk. Energies are from PBE.

a b c (Å): 3.851 7.729 9.281
angles (deg): 114.58 101.97 90.00
Positions (direct):
Nd 0.000 0.500 0.000
Nd 0.201 0.201 0.403
Nd 0.799 0.799 0.597
Sm 0.500 0.000 0.000
Hg 0.370 0.573 0.739
Hg 0.630 0.427 0.261
Hg 0.630 0.833 0.260
Hg 0.370 0.167 0.740

Results
magnetic moment	0.000	μB/atom

---

Entry Q
Here is a geometry-optimized Nd3SmHg4 structure from Alexandria via LeMat-Bulk. Energies are from PBE.

a b c (Å): 5.401 5.401 8.586
angles (deg): 108.35 108.33 90.00
Each line ends with the local moment (μB).
Positions (direct):
Nd 0.000 0.500 0.000  0.21
Nd 0.749 0.249 0.498  0.22
Nd 0.251 0.751 0.502  0.22
Hg 0.376 0.376 0.753  0.02
Hg 0.624 0.624 0.247  0.02
Hg 0.124 0.124 0.247  0.02
Hg 0.876 0.876 0.753  0.02
Sm 0.500 0.000 0.000  0.21

Results
magnetic moment	0.232	μB/atom

---

Of them, entry P has the lowest stability.

---

Entry P
Here is a geometry-optimized Nd2SmHg4 structure from Alexandria via LeMat-Bulk. Energies are from PBE.

a b c (Å): 5.214 5.214 9.464
angles (deg): 74.01 74.01 60.00
Positions (direct):
Nd 0.756 0.756 0.731
Nd 0.244 0.244 0.269
Sm 0.000 0.000 0.000
Hg 0.874 0.874 0.379
Hg 0.126 0.126 0.621
Hg 0.627 0.627 0.120
Hg 0.373 0.373 0.880

Results
magnetic moment	0.000	μB/atom

---

Entry Q
Here is a geometry-optimized Nd2SmHg4 structure from Alexandria via LeMat-Bulk. Energies are from PBE.

a b c (Å): 5.722 5.722 8.856
angles (deg): 108.85 108.85 90.00
Positions (direct):
Nd 0.604 0.604 0.208
Nd 0.396 0.396 0.792
Sm 0.000 0.000 0.000
Hg 0.804 0.804 0.609
Hg 0.196 0.196 0.391
Hg 0.000 0.500 0.000
Hg 0.500 0.000 0.000

Results
magnetic moment	0.000	μB/atom

---

Of them, entry Q has the lowest stability.

---

Entry P
Here is a geometry-optimized NdSm2Hg8 structure from Alexandria via LeMat-Bulk. Energies are from PBE.

a b c (Å): 5.049 7.330 8.480
angles (deg): 109.13 107.32 90.00
Positions (direct):
Nd 0.500 0.000 0.000
Sm 0.790 0.348 0.579
Sm 0.210 0.652 0.421
Hg 0.405 0.541 0.810
Hg 0.673 0.901 0.347
Hg 0.848 0.823 0.697
Hg 0.976 0.273 0.952
Hg 0.152 0.177 0.303
Hg 0.327 0.099 0.653
Hg 0.595 0.459 0.190
Hg 0.024 0.727 0.048

Results
magnetic moment	0.000	μB/atom

---

Entry Q
Here is a geometry-optimized NdSm2Hg8 structure from Alexandria via LeMat-Bulk. Energies are from PBE.

a b c (Å): 5.192 7.447 8.702
angles (deg): 115.33 107.36 90.00
Positions (direct):
Nd 0.500 0.000 0.000
Sm 0.192 0.692 0.383
Sm 0.808 0.308 0.617
Hg 0.649 0.861 0.298
Hg 0.351 0.563 0.702
Hg 0.157 0.157 0.315
Hg 0.000 0.291 0.000
Hg 0.843 0.843 0.685
Hg 0.649 0.437 0.298
Hg 0.351 0.139 0.702
Hg 0.000 0.709 0.000

Results
magnetic moment	0.000	μB/atom

---

Of them, entry Q has the lowest stability.